22
Lattice="6.3261 0.0000 3.6524 2.1087 5.9643 3.6524 0.0000 0.0000 7.3048" Properties=species:S:1:pos:R:3 comment="In2Mo2O7 | the Alexandria database | PBE with a Hubbard U | relaxed" rho_kg_m3=6429 space_group=Fd-3m volume_a3_per_atom=12.53 final_energy_ev_per_atom=-6.448 pbc="T T T"
In 5.2718 3.7277 9.1310
In 5.2718 3.7277 5.4786
In 4.2174 0.7455 7.3048
In 2.1087 3.7277 7.3048
Mo 4.2174 0.7455 3.6524
Mo 2.1087 3.7277 3.6524
Mo 1.0544 0.7455 5.4786
Mo 1.0544 0.7455 1.8262
O 1.7898 1.2655 7.3048
O 3.0036 4.6988 5.2024
O 3.0036 0.2255 5.2024
O 3.8985 2.7566 3.6524
O 6.3261 4.4732 10.9572
O 5.4313 1.2655 5.2024
O 3.0036 0.2255 2.1024
O 1.2138 2.7566 5.2024
O 0.3190 0.2255 3.6524
O 1.2138 2.7566 2.1024
O 3.0036 4.6988 9.4072
O 4.2174 2.9822 7.3048
O 5.4313 1.2655 9.4072
O 6.6451 4.6988 7.3048